Below is a PBEsol-optimized structure of Cr2CdMo, with properties calculated at the meta-GGA SCAN level.

Cell lengths 3.7319, 3.7319, 8.1495 Å; angles 90.00, 90.00, 90.00 degrees
Closest atoms and distances in Å follow each position.
Space group I-4m2 (No. 119)
Asymmetric unit:
Cr (0.0000, 0.0000, 0.0000) (multiplicity 2)  4 Mo 2.64, 4 Cr 2.76, 4 Cd 2.76
Cr (0.0000, 0.5000, 0.2500) (multiplicity 2)  4 Cd 2.64, 4 Cr 2.76, 4 Mo 2.76
Cd (0.0000, 0.5000, 0.7500) (multiplicity 2)  8 Cr 2.64-2.76, 4 Mo 2.76
Mo (0.0000, 0.0000, 0.5000) (multiplicity 2)  8 Cr 2.64-2.76, 4 Cd 2.76

ΔE_f ... 538.6 meV per atom
Spin magnetization ... 0.6 μB per formula unit

---

Below is a PBEsol-optimized structure of CrCd3N, with properties calculated at the meta-GGA SCAN level.

Cell lengths 5.2588, 5.2588, 5.2588 Å; angles 90.00, 90.00, 90.00 degrees
Closest atoms and distances in Å follow each position.
Space group Pm-3m (No. 221)
Asymmetric unit:
Cr (0.0000, 0.0000, 0.0000) (multiplicity 1)  6 Cd 2.63
Cd (0.0000, 0.0000, 0.5000) (multiplicity 3)  2 Cr 2.63
N (0.5000, 0.5000, 0.5000) (multiplicity 1)  12 Cd 3.72

Calculated total energy ... -112.0 eV for the cell shown
Spin magnetization ... 7.9 μB per formula unit

---

Below is a PBEsol-optimized structure of CrCd2NiN, with properties calculated at the meta-GGA SCAN level.

Cell lengths 5.1157, 5.1157, 3.3484 Å; angles 90.00, 90.00, 90.00 degrees
Closest atoms and distances in Å follow each position.
Space group P4/mmm (No. 123)
Asymmetric unit:
Cr (0.0000, 0.0000, 0.0000) (multiplicity 1)  8 Cd 3.06, 2 Cr 3.35
Cd (0.0000, 0.5000, 0.5000) (multiplicity 2)  2 Ni 2.56
Ni (0.5000, 0.5000, 0.5000) (multiplicity 1)  2 N 1.67
N (0.5000, 0.5000, 0.0000) (multiplicity 1)  2 Ni 1.67

Calculated total energy ... -102.0 eV for the cell shown
Spin magnetization ... 5.1 μB per formula unit

---

Below is a PBEsol-optimized structure of CrCdSN2, with properties calculated at the meta-GGA SCAN level.

Cell lengths 4.0380, 4.0380, 5.5374 Å; angles 90.00, 90.00, 90.00 degrees
Closest atoms and distances in Å follow each position.
Space group P4/mmm (No. 123)
Asymmetric unit:
Cr (0.0000, 0.0000, 0.0000) (multiplicity 1)  4 S 2.86
Cd (0.5000, 0.5000, 0.5000) (multiplicity 1)  4 N 2.02
S (0.5000, 0.5000, 0.0000) (multiplicity 1)  2 Cd 2.77, 4 Cr 2.86
N (0.0000, 0.5000, 0.5000) (multiplicity 2)  2 Cd 2.02

Calculated total energy ... -69.3 eV for the cell shown
Spin magnetization ... 7.7 μB per formula unit

---

Below is a PBEsol-optimized structure of CrCdSe2N, with properties calculated at the meta-GGA SCAN level.

Cell lengths 5.2259, 5.2259, 4.0171 Å; angles 90.00, 90.00, 90.00 degrees
Closest atoms and distances in Å follow each position.
Space group P4/mmm (No. 123)
Asymmetric unit:
Cr (0.0000, 0.0000, 0.0000) (multiplicity 1)  8 Se 3.30
Cd (0.5000, 0.5000, 0.5000) (multiplicity 1)  2 N 2.01
Se (0.0000, 0.5000, 0.5000) (multiplicity 2)  2 Cd 2.61
N (0.5000, 0.5000, 0.0000) (multiplicity 1)  2 Cd 2.01

Calculated total energy ... -93.5 eV for the cell shown
Spin magnetization ... 6.0 μB per formula unit

---

Below is a PBEsol-optimized structure of Na2CrCdNi, with properties calculated at the meta-GGA SCAN level.

Cell lengths 5.2752, 5.2752, 5.1465 Å; angles 90.00, 90.00, 90.00 degrees
Closest atoms and distances in Å follow each position.
Space group P4/mmm (No. 123)
Asymmetric unit:
Na (0.0000, 0.5000, 0.0000) (multiplicity 2)  2 Cd 2.64
Cr (0.0000, 0.0000, 0.5000) (multiplicity 1)  2 Cd 2.57
Cd (0.0000, 0.0000, 0.0000) (multiplicity 1)  2 Cr 2.57, 4 Na 2.64
Ni (0.5000, 0.5000, 0.5000) (multiplicity 1)  8 Na 3.68, 4 Cr 3.73

ΔE_f ... 1036.4 meV per atom
Spin magnetization ... 5.9 μB per formula unit

---

Below is a PBEsol-optimized structure of NaTiCr2Cd, with properties calculated at the meta-GGA SCAN level.

Cell lengths 4.7081, 4.7081, 4.7865 Å; angles 90.00, 90.00, 90.00 degrees
Closest atoms and distances in Å follow each position.
Space group P4/mmm (No. 123)
Asymmetric unit:
Na (0.0000, 0.0000, 0.0000) (multiplicity 1)  4 Cr 2.35, 2 Ti 2.39
Ti (0.0000, 0.0000, 0.5000) (multiplicity 1)  2 Na 2.39
Cr (0.0000, 0.5000, 0.0000) (multiplicity 2)  2 Na 2.35
Cd (0.5000, 0.5000, 0.5000) (multiplicity 1)  4 Ti 3.33, 8 Cr 3.36

ΔE_f ... 1399.1 meV per atom
Spin magnetization ... 6.7 μB per formula unit

---

Below is a PBEsol-optimized structure of CrCdNi6, with properties calculated at the meta-GGA SCAN level.

Cell lengths 7.1174, 10.0979, 10.1426 Å; angles 90.00, 90.00, 90.00 degrees
Closest atoms and distances in Å follow each position.
Space group Cmmm (No. 65)
Asymmetric unit:
Cr (0.0000, 0.0000, 0.2479) (multiplicity 4)  12 Ni 2.38-2.56
Cr (0.0000, 0.2502, 0.5000) (multiplicity 4)  12 Ni 2.40-2.53
Cd (0.0000, 0.2561, 0.0000) (multiplicity 4)  12 Ni 2.46-2.67
Cd (0.0000, 0.5000, 0.2523) (multiplicity 4)  12 Ni 2.51-2.61
Ni (0.0000, 0.0000, 0.0000) (multiplicity 2)  8 Ni 2.48, 2 Cr 2.51, 2 Cd 2.59
Ni (0.0000, 0.0000, 0.5000) (multiplicity 2)  8 Ni 2.46, 4 Cr 2.53-2.56
Ni (0.0000, 0.2434, 0.2633) (multiplicity 8)  8 Ni 2.40-2.67, 2 Cr 2.40-2.46, 2 Cd 2.59-2.67
Ni (0.0000, 0.5000, 0.0000) (multiplicity 2)  4 Cd 2.46-2.56, 8 Ni 2.62
Ni (0.0000, 0.5000, 0.5000) (multiplicity 2)  2 Cd 2.51, 2 Cr 2.52, 8 Ni 2.55
Ni (0.2358, 0.1213, 0.1340) (multiplicity 16)  1 Cr 2.38, 6 Ni 2.45-2.62, 3 Cd 2.55-2.63
Ni (0.2411, 0.1285, 0.3820) (multiplicity 16)  8 Ni 2.39-2.59, 3 Cr 2.43-2.54, 1 Cd 2.61

ΔE_f ... 89.2 meV per atom
Spin magnetization ... 0.5 μB per formula unit

---

- Among the records above, which one has the lowest spin magnetization?
  CrCdNi6